Below is crystalline LiU2Pt5Au at its relaxed geometry, with properties calculated at the GGA-PBE level.

## Properties
VASP energy	-6.62	eV/atom
E_form	-0.1752	eV/atom
total magnetization	1.04	μB per cell
space group	No. 140

Unit cell a=9.3503 b=9.3503 c=9.3503 alpha=134.09 beta=134.09 gamma=66.95
Fractional coordinates of all 18 atoms:
Li1 0.2500 0.2500 0.0000
Li2 0.7500 0.7500 0.0000
U1 0.1449 0.6449 0.7898
U2 0.3551 0.1449 0.5000
U3 0.6449 0.8551 0.5000
U4 0.8551 0.3551 0.2102
Pt1 0.0000 0.0000 0.0000
Pt2 0.0431 0.2307 0.5000
Pt3 0.2307 0.7307 0.1876
Pt4 0.2693 0.4569 0.5000
Pt5 0.4569 0.9569 0.1876
Pt6 0.5000 0.5000 0.0000
Pt7 0.5431 0.0431 0.8124
Pt8 0.7307 0.5431 0.5000
Pt9 0.7693 0.2693 0.8124
Pt10 0.9569 0.7693 0.5000
Au1 0.2500 0.7500 0.5000
Au2 0.7500 0.2500 0.5000